PuTl2CrF6 | Alexandria | PBE+U | relaxed; total DFT energy (no corrections) = -6.202 eV/atom; crystal system = orthorhombic; density of states at the Fermi level = 10.5 states/eV/f.u.; space-group type = Pmmn, No. 59
1.0
6.512 0.000 0.000
0.000 8.784 0.000
0.000 0.000 6.444
Pu Tl Cr F
2 4 2 12
Direct
0.250 0.250 0.228
0.750 0.750 0.772
0.250 0.005 0.746
0.250 0.495 0.746
0.750 0.505 0.254
0.750 0.995 0.254
0.250 0.750 0.266
0.750 0.250 0.734
0.015 0.250 0.514
0.020 0.750 0.003
0.250 0.519 0.268
0.250 0.981 0.268
0.480 0.750 0.003
0.485 0.250 0.514
0.515 0.750 0.486
0.520 0.250 0.997
0.750 0.019 0.732
0.750 0.481 0.732
0.980 0.250 0.997
0.985 0.750 0.486